No. 1
Computed, not measured: a geometry-optimized TlMo2PtBr structure at the GGA-PBE level of DFT.

Cell lengths 4.6320, 5.5029, 4.6320 Å; angles 90.00, 90.00, 90.00 degrees
With the nearest neighbours (Å) after each atom.
Atoms (fractional coordinates):
1 Br 0.0000 0.0000 0.0000  4 Mo 2.32
2 Mo 0.0000 0.0000 0.5000  2 Br 2.32
3 Mo 0.5000 0.0000 0.0000  2 Br 2.32
4 Tl 0.0000 0.5000 0.0000  2 Br 2.75
5 Pt 0.5000 0.5000 0.5000  4 Tl 3.28, 8 Mo 3.60

Formation energy (no corrections), eV per formula unit: 8.72
Space-group type: P4/mmm, No. 123

No. 2
Computed, not measured: a geometry-optimized Er2ScTlC structure at the GGA-PBE level of DFT.

Cell lengths 4.5865, 4.8618, 4.8618 Å; angles 90.00, 90.00, 90.00 degrees
With the nearest neighbours (Å) after each atom.
Atoms (fractional coordinates):
1 Sc 0.5000 0.0000 0.0000  2 C 2.29
2 Er 0.0000 0.5000 0.0000  2 C 2.43
3 Er 0.0000 0.0000 0.5000  2 C 2.43
4 Tl 0.5000 0.5000 0.5000  8 Er 3.34, 4 Sc 3.44
5 C 0.0000 0.0000 0.0000  2 Sc 2.29, 4 Er 2.43

Formation energy, eV/atom: -0.525
Space-group type: P4/mmm, No. 123

No. 3
Computed, not measured: a geometry-optimized Sc2TaIn2 structure at the GGA-PBE level of DFT.

Cell lengths 8.3840, 8.3840, 3.1219 Å; angles 90.00, 90.00, 90.00 degrees
With the nearest neighbours (Å) after each atom.
Atoms (fractional coordinates):
1 In 0.3240 0.1761 0.5000  6 Sc 2.85-2.99, 2 In 3.12
2 In 0.6760 0.8240 0.5000  6 Sc 2.85-2.99, 2 In 3.12
3 In 0.1761 0.6760 0.5000  6 Sc 2.85-2.99, 2 In 3.12
4 In 0.8240 0.3240 0.5000  6 Sc 2.85-2.99, 2 In 3.12
5 Sc 0.1230 0.3770 0.0000  6 In 2.85-2.99, 3 Sc 2.92-3.12
6 Sc 0.8770 0.6230 0.0000  6 In 2.85-2.99, 3 Sc 2.92-3.12
7 Sc 0.6230 0.1230 0.0000  6 In 2.85-2.99, 3 Sc 2.92-3.12
8 Sc 0.3770 0.8770 0.0000  6 In 2.85-2.99, 3 Sc 2.92-3.12
9 Ta 0.0000 0.0000 0.0000  2 Ta 3.12, 4 Sc 3.32, 8 In 3.46
10 Ta 0.5000 0.5000 0.0000  2 Ta 3.12, 4 Sc 3.32, 8 In 3.46

Formation energy, eV/atom: 0.231
Space-group type: P4/mbm, No. 127
ΔE to the lowest computed polymorph, meV/atom: 214

No. 4
Computed, not measured: a geometry-optimized Be2AsH6 structure at the GGA-PBE level of DFT.

Cell lengths 4.5097, 4.5099, 4.5096 Å; angles 60.00, 60.00, 60.00 degrees
With the nearest neighbours (Å) after each atom.
Atoms (fractional coordinates):
1 H 0.2762 0.7238 0.2762  1 As 1.76
2 H 0.2762 0.7238 0.7238  1 As 1.76
3 H 0.7238 0.2762 0.2762  1 As 1.76
4 H 0.2762 0.2762 0.7238  1 As 1.76
5 H 0.7238 0.7238 0.2762  1 As 1.76
6 H 0.7238 0.2762 0.7238  1 As 1.76
7 Be 0.7500 0.7500 0.7500  12 H 2.26
8 Be 0.2500 0.2500 0.2500  12 H 2.26
9 As 0.0000 0.0000 0.0000  6 H 1.76

Raw total energy, eV/atom: -2.624
Space-group type: Fm-3m, No. 225

No. 5
Computed, not measured: a geometry-optimized RbTl2AgI4 structure at the GGA-PBE level of DFT.

Cell lengths 4.8815, 8.6072, 17.6078 Å; angles 90.00, 90.00, 106.47 degrees
With the nearest neighbours (Å) after each atom.
Atoms (fractional coordinates):
1 Tl 0.6333 0.2665 0.4460  6 I 3.42-3.62
2 Tl 0.3667 0.7335 0.9460  6 I 3.42-3.62
3 Tl 0.6333 0.2665 0.0540  6 I 3.42-3.62
4 Tl 0.3667 0.7335 0.5540  6 I 3.42-3.62
5 I 0.4328 0.8656 0.7500  2 Ag 2.91
6 I 0.0000 0.0000 0.5000  4 Tl 3.42
7 I 0.7240 0.4479 0.8748  1 Ag 2.88
8 I 0.7240 0.4479 0.6252  1 Ag 2.88
9 I 0.0000 0.0000 0.0000  4 Tl 3.42
10 I 0.5672 0.1344 0.2500  2 Ag 2.91
11 I 0.2760 0.5521 0.3748  1 Ag 2.88
12 I 0.2760 0.5521 0.1252  1 Ag 2.88
13 Rb 0.8877 0.7753 0.2500  6 I 3.77-3.84
14 Rb 0.1123 0.2247 0.7500  6 I 3.77-3.84
15 Ag 0.8363 0.6725 0.7500  4 I 2.88-2.91
16 Ag 0.1637 0.3275 0.2500  4 I 2.88-2.91

Formation energy (no corrections), eV per formula unit: -6.09
Space-group type: Cmcm, No. 63